(1)
PBE-GGA Zr2CdIr, relaxed; formation energy = -136 kJ/mol of formula units; D(E_F) = 3.0 states/eV/f.u.; space-group type = No. 123; spin magnetization = 0.0 μB/f.u.; calculated volume = 19.71 Å³/atom
1.0
4.755 0.000 0.000
0.000 4.755 0.000
0.000 0.000 3.486
Zr Cd Ir
2 1 1
direct
0.000 0.500 0.000
0.500 0.000 0.000
0.000 0.000 0.500
0.500 0.500 0.500

***

(2)
PBE-GGA Pm3Er2PuSe6, relaxed; D(E_F) = 9.0 states/eV/f.u.; calculated total energy = -6.64 eV per atom; space-group type = No. 12; spin magnetization = 5.9 μB/f.u.; calculated volume = 24.96 Å³/atom
1.0
9.034 -2.049 0.000
9.034 2.049 0.000
-1.990 0.000 8.088
Pm Er Pu Se
3 2 1 6
direct
0.000 0.000 0.000
0.336 0.336 0.665
0.664 0.664 0.335
0.336 0.336 0.172
0.664 0.664 0.828
0.000 0.000 0.500
0.167 0.167 0.593
0.171 0.171 0.075
0.497 0.497 0.252
0.503 0.503 0.748
0.829 0.829 0.925
0.833 0.833 0.407

***

(3)
PBE-GGA LaZn5, relaxed; formation energy = -61 kJ/mol of formula units; D(E_F) = 4.3 states/eV/f.u.; space-group type = No. 38; E above lowest polymorph = 201 meV per atom; spin magnetization = 0.0 μB/f.u.; calculated volume = 20.09 Å³/atom
1.0
4.207 0.000 0.000
0.000 2.091 6.851
0.000 -2.091 6.851
La Zn
1 5
direct
0.000 0.000 0.000
0.000 0.304 0.304
0.000 0.681 0.681
0.500 0.179 0.179
0.500 0.418 0.418
0.500 0.809 0.809

***

(4)
PBE-GGA MgFeGe2Sb, relaxed; D(E_F) = 6.9 states/eV/f.u.; calculated total energy = -3.57 eV per atom; space-group type = No. 123; spin magnetization = 3.1 μB/f.u.; calculated volume = 25.74 Å³/atom
1.0
4.900 0.000 0.000
0.000 4.900 0.000
0.000 0.000 5.360
Mg Fe Ge Sb
1 1 2 1
direct
0.000 0.000 0.000
0.500 0.500 0.500
0.000 0.500 0.000
0.500 0.000 0.000
0.000 0.000 0.500

***

(5)
PBE-GGA ErTm4PbS8, relaxed; D(E_F) = 4.0 states/eV/f.u.; calculated total energy = -5.98 eV per atom; space-group type = No. 160; spin magnetization = 0.0 μB/f.u.; calculated volume = 26.41 Å³/atom
1.0
4.024 2.323 6.594
-4.024 2.323 6.594
0.000 -4.646 6.594
Er Tm Pb S
1 4 1 8
direct
0.000 0.000 0.000
0.000 0.000 0.492
0.000 0.492 0.000
0.492 0.000 0.000
0.623 0.623 0.623
0.372 0.372 0.372
0.225 0.755 0.755
0.233 0.233 0.233
0.234 0.234 0.791
0.234 0.791 0.234
0.755 0.225 0.755
0.755 0.755 0.225
0.756 0.756 0.756
0.791 0.234 0.234

***

(6)
PBE-GGA ZrSbTe2F, relaxed; D(E_F) = 4.4 states/eV/f.u.; space-group type = No. 123; E above lowest polymorph = 26 meV per atom; spin magnetization = 0.0 μB/f.u.; calculated volume = 24.26 Å³/atom
1.0
5.292 0.000 0.000
0.000 5.292 0.000
0.000 0.000 4.331
Zr Sb Te F
1 1 2 1
direct
0.000 0.000 0.000
0.500 0.500 0.000
0.000 0.500 0.500
0.500 0.000 0.500
0.500 0.500 0.500

***

(7)
PBE-GGA ZrNbOs, relaxed; formation energy = -50 kJ/mol of formula units; D(E_F) = 1.7 states/eV/f.u.; space-group type = No. 156; E above lowest polymorph = 132 meV per atom; spin magnetization = 0.0 μB/f.u.; calculated volume = 17.73 Å³/atom
1.0
4.529 0.000 0.000
-2.264 3.922 0.000
0.000 0.000 2.995
Zr Nb Os
1 1 1
direct
0.000 0.000 0.000
0.333 0.667 0.650
0.667 0.333 0.342

***

(8)
PBE-GGA Pu2NbTl, relaxed; formation energy = 118 kJ/mol of formula units; D(E_F) = 13.6 states/eV/f.u.; space-group type = No. 123; E above lowest polymorph = 49 meV per atom; spin magnetization = 10.8 μB/f.u.; calculated volume = 24.18 Å³/atom
1.0
3.987 0.000 0.000
0.000 3.987 0.000
0.000 0.000 6.083
Pu Nb Tl
2 1 1
direct
0.000 0.000 0.240
0.000 0.000 0.760
0.500 0.500 0.000
0.500 0.500 0.500

***

(9)
PBE-GGA BaZn2Ga, relaxed; formation energy = -101 kJ/mol of formula units; D(E_F) = 2.3 states/eV/f.u.; space-group type = No. 38; spin magnetization = 0.0 μB/f.u.; calculated volume = 24.63 Å³/atom
1.0
7.270 0.000 0.000
0.000 2.157 6.283
0.000 -2.157 6.283
Ba Zn Ga
2 4 2
direct
0.000 0.000 0.000
0.500 0.097 0.097
0.000 0.282 0.282
0.316 0.374 0.374
0.500 0.822 0.822
0.684 0.374 0.374
0.185 0.717 0.717
0.815 0.717 0.717

***

(10)
PBE-GGA MnAsS2, relaxed; D(E_F) = 0.7 states/eV/f.u.; calculated total energy = -5.37 eV per atom; space-group type = No. 166; spin magnetization = 4.0 μB/f.u.; calculated volume = 21.81 Å³/atom
1.0
1.841 1.063 7.426
-1.841 1.063 7.426
0.000 -2.126 7.426
Mn As S
1 1 2
direct
0.000 0.000 0.000
0.500 0.500 0.500
0.102 0.102 0.102
0.898 0.898 0.898

***

(11)
PBE-GGA Er2UCuS6, relaxed; D(E_F) = 3.9 states/eV/f.u.; calculated total energy = -6.03 eV per atom; space-group type = No. 99; spin magnetization = 1.0 μB/f.u.; calculated volume = 24.59 Å³/atom
1.0
6.411 0.000 0.000
0.000 6.411 0.000
0.000 0.000 5.982
Er U Cu S
2 1 1 6
direct
0.000 0.500 0.000
0.500 0.000 0.000
0.000 0.000 0.623
0.500 0.500 0.559
0.000 0.000 0.176
0.264 0.264 0.751
0.264 0.736 0.751
0.500 0.500 0.192
0.736 0.264 0.751
0.736 0.736 0.751

***

(12)
PBE-GGA HfCu3Rh, relaxed; formation energy = -115 kJ/mol of formula units; D(E_F) = 2.9 states/eV/f.u.; space-group type = No. 11; E above lowest polymorph = 0 meV per atom; spin magnetization = 0.0 μB/f.u.; calculated volume = 14.41 Å³/atom
1.0
4.637 0.000 0.000
0.000 5.141 0.000
-2.331 0.000 6.044
Hf Cu Rh
2 6 2
direct
0.101 0.250 0.200
0.899 0.750 0.800
0.313 0.000 0.628
0.313 0.500 0.628
0.490 0.250 0.980
0.510 0.750 0.020
0.687 0.000 0.372
0.687 0.500 0.372
0.124 0.750 0.247
0.876 0.250 0.753